A relaxed Dy2SnSe5 crystal, computed with PBE-GGA.

The space group is Cmcm (No. 63) and the conventional cell measures 5.740, 14.174 and 13.118 Å, with angles of 90.00, 90.00 and 90.00 degrees. The asymmetric unit holds Dy at (0.000, 0.167, 0.069), Sn at (0.000, 0.184, 0.750), Se at (0.000, 0.031, 0.592), Se at (0.000, 0.274, 0.250) and Se at (0.000, 0.309, 0.585).

For the magnetization, the calculation gives 0.00 μB per cell. As for the uncorrected formation energy: -9.6 eV per formula unit.